First-principles (PBE) data for a geometry-optimized Gd3TlSn4Pb2 structure, as listed in OQMD via LeMat-Bulk.

Output
E_tot	-44.34	eV for the cell shown
magnetization	0.01	μB/cell
space group	Cmmm, No. 65

a = 12.8657 Å, b = 12.8657 Å, c = 4.6572 Å
α = 90.00°, β = 90.00°, γ = 159.17°
With the nearest neighbours (Å) after each atom.
Sites, in units of the cell vectors:
Sn: 0.9042 0.0958 0.0000  4 Gd 3.23-3.36, 4 Sn 3.29, 2 Tl 3.36
Sn: 0.5953 0.4047 0.5000  4 Gd 3.24-3.35, 4 Sn 3.29, 2 Tl 3.35
Gd: 0.1842 0.8158 0.5000  4 Sn 3.23-3.24, 4 Pb 3.34
Pb: 0.7056 0.2944 0.0000  2 Pb 3.23, 4 Gd 3.34
Sn: 0.0958 0.9042 0.0000  4 Gd 3.23-3.36, 4 Sn 3.29, 2 Tl 3.36
Gd: 0.0000 0.0000 0.5000  4 Tl 3.29, 8 Sn 3.35-3.36
Sn: 0.4047 0.5953 0.5000  4 Gd 3.24-3.35, 4 Sn 3.29, 2 Tl 3.35
Tl: 0.5000 0.5000 0.0000  4 Gd 3.29, 8 Sn 3.35-3.36
Gd: 0.8158 0.1842 0.5000  4 Sn 3.23-3.24, 4 Pb 3.34
Pb: 0.2944 0.7056 0.0000  2 Pb 3.23, 4 Gd 3.34